# 1
Below is a relaxed CoP2S6 crystal, with properties calculated at the PBE-GGA level.

abc: 6.995 6.150 6.150
angles: 120.00 90.00 90.00
Positions (direct):
1 S 0.797 0.165 0.835
2 S 0.203 0.835 0.669
3 S 0.797 0.669 0.835
4 S 0.797 0.165 0.331
5 S 0.203 0.331 0.165
6 Co 0.000 0.000 0.000
7 P 0.962 0.333 0.667
8 P 0.038 0.667 0.333
9 S 0.203 0.835 0.165

DOS(E_F), states/eV/f.u.: 7.9
Calculated volume, Å³/f.u.: 229
Formation energy (no corrections), eV per atom: 0.054
Crystal system: trigonal
Space group: No. 164
E, eV for the cell shown: -42.202
Total magnetization, μB per formula unit: 1.6

***

# 2
Below is a relaxed CoP3S crystal, with properties calculated at the PBE-GGA level.

abc: 4.408 4.408 4.408
angles: 90.00 90.00 90.00
Positions (direct):
1 Co 0.500 0.500 0.500
2 P 0.000 0.500 0.000
3 S 0.000 0.000 0.000
4 P 0.500 0.000 0.000
5 P 0.000 0.000 0.500

DOS(E_F), states/eV/f.u.: 5.5
Calculated volume, Å³/f.u.: 86
Formation energy (no corrections), eV per atom: 1.246
Crystal system: cubic
Space group: No. 221
E, eV for the cell shown: -21.232
Total magnetization, μB per formula unit: 1.2